Entry from Alexandria via LeMat-Bulk: a relaxed ErTl3S3 crystal (PBE).

Output
Its symmetry is P2_1/m, No. 11. As for the formation energy without anion corrections: -7.081 eV/f.u. The calculated total energy is -31.13 eV/f.u.

abc: 4.034 8.743 11.871
angles: 86.64 90.00 90.00
Element x y z (fractional)
Er 0.250 0.887 0.384
Er 0.750 0.113 0.616
Tl 0.250 0.384 0.363
Tl 0.750 0.616 0.637
Tl 0.250 0.855 0.875
Tl 0.750 0.145 0.125
Tl 0.250 0.335 0.855
Tl 0.750 0.665 0.145
S 0.250 0.325 0.608
S 0.750 0.675 0.392
S 0.250 0.899 0.614
S 0.750 0.101 0.386
S 0.250 0.905 0.155
S 0.750 0.095 0.845

---

Entry from Alexandria via LeMat-Bulk: a relaxed ErTlS2 crystal (PBE).

Output
Its symmetry is R-3m, No. 166. As for the formation energy without anion corrections: -5.960 eV/f.u. The calculated total energy is -21.14 eV/f.u.

abc: 7.870 7.870 7.870
angles: 29.41 29.41 29.41
Element x y z (fractional)
Tl 0.500 0.500 0.500
S 0.732 0.732 0.732
S 0.268 0.268 0.268
Er 0.000 0.000 0.000

---

Entry from Alexandria via LeMat-Bulk: a relaxed Er3Tl2S6 crystal (PBE).

Output
Its symmetry is C2/m, No. 12. As for the formation energy without anion corrections: -16.467 eV/f.u. The calculated total energy is -59.65 eV/f.u.

abc: 6.896 6.892 7.595
angles: 81.35 72.51 59.98
Element x y z (fractional)
Er 0.000 0.000 0.000
Er 0.334 0.332 0.000
Er 0.666 0.668 0.000
Tl 0.167 0.665 0.500
Tl 0.833 0.335 0.500
S 0.400 0.663 0.798
S 0.737 0.000 0.799
S 0.063 0.337 0.798
S 0.263 0.000 0.201
S 0.600 0.337 0.202
S 0.937 0.663 0.202

---

Entry from Alexandria via LeMat-Bulk: a relaxed Er7TlS5 crystal (PBE).

Output
Its symmetry is P2_1/m, No. 11. As for the formation energy without anion corrections: -20.627 eV/f.u. The calculated total energy is -75.57 eV/f.u.

abc: 3.881 6.751 23.247
angles: 89.99 90.00 106.76
Element x y z (fractional)
Er 0.487 0.974 0.250
Er 0.513 0.027 0.750
Er 0.637 0.274 0.035
Er 0.363 0.727 0.965
Er 0.363 0.727 0.535
Er 0.637 0.274 0.465
Er 0.174 0.349 0.172
Er 0.826 0.652 0.828
Er 0.826 0.652 0.672
Er 0.174 0.349 0.328
Er 0.906 0.813 0.110
Er 0.094 0.188 0.890
Er 0.094 0.188 0.610
Er 0.907 0.813 0.390
Tl 0.803 0.604 0.250
Tl 0.198 0.397 0.750
S 0.000 0.001 0.000
S 0.727 0.454 0.930
S 0.273 0.547 0.070
S 0.543 0.087 0.362
S 0.457 0.914 0.638
S 0.000 0.001 0.500
S 0.273 0.547 0.430
S 0.727 0.454 0.570
S 0.457 0.914 0.861
S 0.543 0.087 0.138

---

Entry from Alexandria via LeMat-Bulk: a relaxed Er2TlS crystal (PBE).

Output
Its symmetry is R3m, No. 160. As for the formation energy without anion corrections: -4.495 eV/f.u. The calculated total energy is -20.11 eV/f.u.

abc: 3.757 3.757 8.344
angles: 76.99 76.99 60.00
Element x y z (fractional)
Er 0.066 0.066 0.803
Er 0.267 0.267 0.198
Tl 0.500 0.500 0.501
S 0.667 0.667 0.998

---

Entry from Alexandria via LeMat-Bulk: a relaxed ErTl2S2 crystal (PBE).

Output
Its symmetry is C2/m, No. 12. As for the formation energy without anion corrections: -5.528 eV/f.u. The calculated total energy is -23.08 eV/f.u.

abc: 3.907 3.899 10.966
angles: 81.71 79.74 59.93
Element x y z (fractional)
Er 0.000 0.500 0.500
Tl 0.529 0.801 0.142
Tl 0.471 0.199 0.858
S 0.723 0.195 0.360
S 0.277 0.805 0.640